# MnOF, optimized geometry, DFT PBE+U
data_MnOF
_chemical_formula_sum 'Mn8 O8 F8'
_symmetry_space_group_name_H-M 'P 1'
_symmetry_Int_Tables_number 1
_cell_length_a 7.827
_cell_length_b 7.827
_cell_length_c 4.676
_cell_angle_alpha 90.09
_cell_angle_beta 90.09
_cell_angle_gamma 106.33
loop_
_symmetry_equiv_pos_as_xyz
'x,y,z'
loop_
_atom_site_label
_atom_site_type_symbol
_atom_site_fract_x
_atom_site_fract_y
_atom_site_fract_z
Mn1 Mn 0.000 0.000 0.000
Mn2 Mn 0.149 0.383 0.549
Mn3 Mn 0.246 0.749 0.083
Mn4 Mn 0.383 0.149 0.549
Mn5 Mn 0.524 0.524 0.112
Mn6 Mn 0.626 0.894 0.555
Mn7 Mn 0.749 0.246 0.083
Mn8 Mn 0.894 0.626 0.555
O1 O 0.032 0.776 0.861
O2 O 0.106 0.590 0.371
O3 O 0.173 0.173 0.733
O4 O 0.365 0.365 0.349
O5 O 0.472 0.740 0.268
O6 O 0.590 0.106 0.371
O7 O 0.740 0.472 0.268
O8 O 0.776 0.032 0.861
F1 F 0.211 0.989 0.246
F2 F 0.305 0.541 0.859
F3 F 0.390 0.921 0.776
F4 F 0.541 0.305 0.859
F5 F 0.663 0.663 0.766
F6 F 0.851 0.851 0.357
F7 F 0.921 0.390 0.776
F8 F 0.989 0.211 0.246
# - Calculated volume: 275 Å³ per cell
# - DFT total energy: -161.23 eV for the cell shown